Compound: Na12I3F5
Source: Alexandria
Functional: PBE-GGA
Structure: optimized geometry

## Properties
uncorrected formation energy: -1.543 eV per atom
final energy: -0.11152 hartree per atom
crystal system: cubic

Lattice parameters (Å, degrees): 14.0604 14.0604 14.0604 109.47 109.47 109.47
Closest atoms and distances in Å follow each position.
Atoms (fractional coordinates):
Na: 0.9969 0.6036 0.6855  1 F 2.25
Na: 0.6067 0.0031 0.6886  1 F 2.25
Na: 0.8114 0.8933 0.9969  1 F 2.25
Na: 0.6886 0.1855 0.5819  1 F 2.25
Na: 0.0031 0.6067 0.1886  1 F 2.25
Na: 0.3964 0.3933 0.0819  1 F 2.25
Na: 0.3114 0.4969 0.3933  1 F 2.25
Na: 0.3933 0.9969 0.3114  1 F 2.25
Na: 0.1855 0.6886 0.0819  1 F 2.25
Na: 0.3933 0.3964 0.5819  1 F 2.25
Na: 0.8964 0.3145 0.5031  1 F 2.25
Na: 0.1886 0.1067 0.0031  1 F 2.25
Na: 0.1886 0.0819 0.6855  1 F 2.25
Na: 0.5819 0.8964 0.3933  1 F 2.25
Na: 0.6036 0.9969 0.1855  1 F 2.25
Na: 0.6886 0.5031 0.6067  1 F 2.25
Na: 0.8114 0.9181 0.3145  1 F 2.25
Na: 0.3145 0.8964 0.0031  1 F 2.25
Na: 0.6067 0.6036 0.4181  1 F 2.25
Na: 0.5031 0.8145 0.8964  1 F 2.25
Na: 0.8145 0.5031 0.3964  1 F 2.25
Na: 0.4181 0.3145 0.3114  1 F 2.25
Na: 0.1067 0.9181 0.1036  1 F 2.25
Na: 0.8145 0.3114 0.9181  1 F 2.25
Na: 0.9969 0.3933 0.8114  1 F 2.25
Na: 0.8933 0.8114 0.4969  1 F 2.25
Na: 0.1036 0.4181 0.1067  1 F 2.25
Na: 0.4181 0.1036 0.6067  1 F 2.25
Na: 0.5031 0.6886 0.1067  1 F 2.25
Na: 0.6855 0.1036 0.9969  1 F 2.25
Na: 0.1855 0.4969 0.6036  1 F 2.25
Na: 0.8964 0.5819 0.8933  1 F 2.25
Na: 0.0819 0.1886 0.1855  1 F 2.25
Na: 0.9181 0.1067 0.6036  1 F 2.25
Na: 0.5819 0.6855 0.6886  1 F 2.25
Na: 0.4969 0.3114 0.8933  1 F 2.25
Na: 0.3114 0.8145 0.4181  1 F 2.25
Na: 0.3964 0.0031 0.8145  1 F 2.25
Na: 0.6036 0.6067 0.9181  1 F 2.25
Na: 0.0031 0.3964 0.3145  1 F 2.25
Na: 0.8933 0.0819 0.8964  1 F 2.25
Na: 0.4969 0.1855 0.1036  1 F 2.25
Na: 0.1067 0.1886 0.5031  1 F 2.25
Na: 0.3145 0.4181 0.8114  1 F 2.25
Na: 0.1036 0.6855 0.4969  1 F 2.25
Na: 0.6855 0.5819 0.1886  1 F 2.25
Na: 0.0819 0.8933 0.3964  1 F 2.25
Na: 0.9181 0.8114 0.8145  1 F 2.25
F: 0.7500 0.1250 0.8750  4 Na 2.25
F: 0.0000 0.0000 0.0000  6 Na 2.55
F: 0.5000 0.0000 0.5000  6 Na 2.55
F: 0.1250 0.7500 0.3750  4 Na 2.25
F: 0.0000 0.5000 0.5000  6 Na 2.55
F: 0.3750 0.2500 0.1250  4 Na 2.25
F: 0.5000 0.5000 0.0000  6 Na 2.55
F: 0.2500 0.8750 0.1250  4 Na 2.25
F: 0.1250 0.3750 0.2500  4 Na 2.25
F: 0.5000 0.0000 0.0000  6 Na 2.55
F: 0.6250 0.8750 0.2500  4 Na 2.25
F: 0.5000 0.5000 0.5000  6 Na 2.55
F: 0.0000 0.0000 0.5000  6 Na 2.55
F: 0.2500 0.3750 0.6250  4 Na 2.25
F: 0.7500 0.6250 0.3750  4 Na 2.25
F: 0.0000 0.5000 0.0000  6 Na 2.55
F: 0.6250 0.7500 0.8750  4 Na 2.25
F: 0.8750 0.6250 0.7500  4 Na 2.25
F: 0.3750 0.1250 0.7500  4 Na 2.25
F: 0.8750 0.2500 0.6250  4 Na 2.25
I: 0.6250 0.3750 0.7500  8 Na 3.26-3.50
I: 0.2500 0.6250 0.8750  8 Na 3.26-3.50
I: 0.3750 0.6250 0.2500  8 Na 3.26-3.50
I: 0.1250 0.8750 0.7500  8 Na 3.26-3.50
I: 0.3750 0.7500 0.6250  8 Na 3.26-3.50
I: 0.6250 0.2500 0.3750  8 Na 3.26-3.50
I: 0.1250 0.2500 0.8750  8 Na 3.26-3.50
I: 0.8750 0.7500 0.1250  8 Na 3.26-3.50
I: 0.7500 0.8750 0.6250  8 Na 3.26-3.50
I: 0.7500 0.3750 0.1250  8 Na 3.26-3.50
I: 0.8750 0.1250 0.2500  8 Na 3.26-3.50
I: 0.2500 0.1250 0.3750  8 Na 3.26-3.50